VASP calculation (PBE) on crystalline CoIr2Cl at its relaxed geometry.

## Properties
**Size of the total moment**: 0.00 μB per formula unit
**E above lowest polymorph**: 0.232 eV per atom
**ΔE_f (raw)**: 645.5 meV per atom

a = 2.9427 Å, b = 2.9427 Å, c = 6.8874 Å
α = 90.00°, β = 90.00°, γ = 90.00°
Last column: nearest neighbours and their distance in Å.
Space group P4/mmm (No. 123)
Symmetry-distinct sites (fractional):
Co: 0.0000 0.0000 0.0000  8 Ir 2.49
Ir: 0.5000 0.5000 0.1978  4 Co 2.49, 1 Ir 2.72
Cl: 0.0000 0.0000 0.5000  4 Cl 2.94, 8 Ir 2.94